w | Density functional theory data (PBE) for crystalline Zr2SiTe at its relaxed geometry.

abc: 3.437 3.664 6.787
angles: 90.00 98.90 90.00
Atoms (fractional coordinates):
Zr (0.073, 0.000, 0.271)
Zr (0.927, 0.000, 0.729)
Si (0.500, 0.500, 0.500)
Te (0.500, 0.500, 0.000)

The calculation puts the volume at 21.11 Å³/atom.

=====

x | Density functional theory data (PBE) for crystalline Zr2SiTe at its relaxed geometry.

abc: 3.840 3.840 5.991
angles: 90.00 90.00 90.00
Atoms (fractional coordinates):
Zr (0.000, 0.000, 0.000)
Zr (0.500, 0.500, 0.345)
Si (0.000, 0.000, 0.454)
Te (0.500, 0.500, 0.839)

The calculation puts the volume at 22.08 Å³/atom.

=====

y | Density functional theory data (PBE) for crystalline Zr2SiTe at its relaxed geometry.

abc: 4.921 4.921 4.921
angles: 60.00 60.00 60.00
Atoms (fractional coordinates):
Zr (0.000, 0.000, 0.000)
Zr (0.250, 0.250, 0.250)
Si (0.500, 0.500, 0.500)
Te (0.750, 0.750, 0.750)

The calculation puts the volume at 21.06 Å³/atom.

=====

Winner for stability: x

=====

w | Density functional theory data (PBE) for crystalline ZrSi2Te at its relaxed geometry.

abc: 3.726 3.726 5.764
angles: 90.00 90.00 90.00
Atoms (fractional coordinates):
Zr (0.000, 0.000, 0.000)
Si (0.500, 0.500, 0.208)
Si (0.500, 0.500, 0.792)
Te (0.000, 0.000, 0.500)

The calculation puts the volume at 20.00 Å³/atom.

=====

x | Density functional theory data (PBE) for crystalline ZrSi2Te at its relaxed geometry.

abc: 3.732 3.629 6.151
angles: 90.00 101.78 90.00
Atoms (fractional coordinates):
Zr (0.000, 0.000, 0.000)
Si (0.444, 0.500, 0.802)
Si (0.556, 0.500, 0.198)
Te (0.000, 0.000, 0.500)

The calculation puts the volume at 20.39 Å³/atom.

=====

Winner for stability: x

=====

w | Density functional theory data (PBE) for crystalline ZrSi2Te at its relaxed geometry.

abc: 3.266 3.266 8.345
angles: 90.00 90.00 103.13
Atoms (fractional coordinates):
Zr (0.000, 0.000, 0.000)
Si (0.000, 0.000, 0.624)
Si (0.500, 0.500, 0.781)
Te (0.500, 0.500, 0.256)

The calculation puts the volume at 21.67 Å³/atom.

=====

x | Density functional theory data (PBE) for crystalline ZrSi2Te at its relaxed geometry.

abc: 4.997 4.997 4.997
angles: 56.84 56.84 56.84
Atoms (fractional coordinates):
Zr (0.000, 0.000, 0.000)
Si (0.225, 0.225, 0.225)
Si (0.775, 0.775, 0.775)
Te (0.500, 0.500, 0.500)

The calculation puts the volume at 20.45 Å³/atom.

=====

Winner for stability: w